The following is a PBE calculation of an optimized crystal structure of Pm2CuNi3, from Alexandria via LeMat-Bulk.

abc: 5.615 5.615 8.082
angles: 109.13 109.13 93.23
Atoms (fractional coordinates):
Ni 0.671 0.164 0.836
Ni 0.164 0.671 0.836
Ni 0.835 0.835 0.670
Ni 0.329 0.836 0.164
Ni 0.165 0.165 0.330
Ni 0.836 0.329 0.164
Cu 0.333 0.333 0.667
Cu 0.667 0.667 0.333
Pm 0.750 0.250 0.500
Pm 0.250 0.750 0.500
Pm 0.750 0.750 0.000
Pm 0.250 0.250 0.000

Summary:
space-group type = No. 69
energy of formation from the pure elements = -299 meV/atom